VASP calculation (GGA-PBE) on crystalline LaTb3DyTh at its relaxed geometry.

Geometry as CIF:
```
data_LaTb3DyTh
_chemical_formula_sum 'La2 Tb6 Dy2 Th2'
_symmetry_space_group_name_H-M 'P 1'
_symmetry_Int_Tables_number 1
_cell_length_a 8.039
_cell_length_b 5.083
_cell_length_c 10.208
_cell_angle_alpha 90.00
_cell_angle_beta 108.92
_cell_angle_gamma 90.00
loop_
_symmetry_equiv_pos_as_xyz
'x,y,z'
loop_
_atom_site_label
_atom_site_type_symbol
_atom_site_fract_x
_atom_site_fract_y
_atom_site_fract_z
La1 La 0.170 0.250 0.292
La2 La 0.830 0.750 0.708
Tb1 Tb 0.171 0.750 0.545
Tb2 Tb 0.177 0.750 0.042
Tb3 Tb 0.178 0.250 0.794
Tb4 Tb 0.822 0.750 0.206
Tb5 Tb 0.823 0.250 0.958
Tb6 Tb 0.829 0.250 0.455
Dy1 Dy 0.499 0.250 0.629
Dy2 Dy 0.501 0.750 0.371
Th1 Th 0.499 0.750 0.879
Th2 Th 0.501 0.250 0.121
```

Values from the calculation:
Magnetic moment in μB per cell: 0.000
Volume in A^3/atom: 32.88
Calculated density in g/cm3: 8.5
Space group: No. 11
DFT formation energy in eV per formula unit: 0.2